Record 1
The following is a PBE calculation of a relaxed Ta2HgRh crystal, from the Alexandria database.

Its total energy is -7.7403 eV per atom. The density of states at the Fermi level is 0.686 states/eV/atom. The calculation puts the calculated formation energy at 99 meV/atom. Its space group is Imm2.

a = 2.9988 Å, b = 4.9086 Å, c = 9.7564 Å
α = 90.00°, β = 90.00°, γ = 90.00°
Last column: nearest neighbours and their distance in Å.
Atoms (fractional coordinates):
Ta (0.0000, 0.0000, 0.0000)  2 Rh 2.65, 2 Ta 2.84, 4 Hg 2.89
Ta (0.0000, 0.5000, 0.2525)  4 Ta 2.84-3.00, 4 Rh 2.89, 2 Hg 3.10
Ta (0.5000, 0.0000, 0.7525)  4 Ta 2.84-3.00, 4 Rh 2.89, 2 Hg 3.10
Ta (0.5000, 0.5000, 0.5000)  2 Rh 2.65, 2 Ta 2.84, 4 Hg 2.89
Hg (0.0000, 0.0000, 0.4745)  2 Rh 2.86, 6 Ta 2.89-3.10, 2 Hg 3.00
Hg (0.5000, 0.5000, 0.9745)  2 Rh 2.86, 6 Ta 2.89-3.10, 2 Hg 3.00
Rh (0.0000, 0.5000, 0.7245)  6 Ta 2.65-2.89, 2 Hg 2.86
Rh (0.5000, 0.0000, 0.2245)  6 Ta 2.65-2.89, 2 Hg 2.86



Record 2
The following is a PBE calculation of a relaxed Ta2HgRh crystal, from the Alexandria database.

Its total energy is -7.5801 eV per atom. The density of states at the Fermi level is 1.453 states/eV/atom. The calculation puts the calculated formation energy at 260 meV/atom. Its space group is F-43m.

a = 6.5655 Å, b = 6.5655 Å, c = 6.5655 Å
α = 90.00°, β = 90.00°, γ = 90.00°
Last column: nearest neighbours and their distance in Å.
Atoms (fractional coordinates):
Ta (0.0000, 0.0000, 0.0000)  4 Ta 2.84, 4 Rh 2.84
Ta (0.0000, 0.5000, 0.5000)  4 Ta 2.84, 4 Rh 2.84
Ta (0.2500, 0.2500, 0.2500)  4 Hg 2.84, 4 Ta 2.84
Ta (0.2500, 0.7500, 0.7500)  4 Hg 2.84, 4 Ta 2.84
Ta (0.5000, 0.0000, 0.5000)  4 Ta 2.84, 4 Rh 2.84
Ta (0.5000, 0.5000, 0.0000)  4 Ta 2.84, 4 Rh 2.84
Ta (0.7500, 0.2500, 0.7500)  4 Hg 2.84, 4 Ta 2.84
Ta (0.7500, 0.7500, 0.2500)  4 Hg 2.84, 4 Ta 2.84
Hg (0.0000, 0.0000, 0.5000)  4 Ta 2.84, 4 Rh 2.84
Hg (0.0000, 0.5000, 0.0000)  4 Ta 2.84, 4 Rh 2.84
Hg (0.5000, 0.0000, 0.0000)  4 Ta 2.84, 4 Rh 2.84
Hg (0.5000, 0.5000, 0.5000)  4 Ta 2.84, 4 Rh 2.84
Rh (0.2500, 0.2500, 0.7500)  4 Hg 2.84, 4 Ta 2.84
Rh (0.2500, 0.7500, 0.2500)  4 Hg 2.84, 4 Ta 2.84
Rh (0.7500, 0.2500, 0.2500)  4 Hg 2.84, 4 Ta 2.84
Rh (0.7500, 0.7500, 0.7500)  4 Hg 2.84, 4 Ta 2.84



Record 3
The following is a PBE calculation of a relaxed Ta2HgRh crystal, from the Alexandria database.

Its total energy is -7.7824 eV per atom. The density of states at the Fermi level is 0.720 states/eV/atom. The calculation puts the calculated formation energy at 57 meV/atom. Its space group is R3m.

a = 3.1025 Å, b = 3.1025 Å, c = 26.7153 Å
α = 90.00°, β = 90.00°, γ = 120.00°
Last column: nearest neighbours and their distance in Å.
Atoms (fractional coordinates):
Ta (0.0000, 0.0000, 0.0000)  9 Ta 2.87-3.10, 3 Hg 3.02
Ta (0.0000, 0.0000, 0.2496)  3 Rh 2.60, 3 Ta 2.87
Ta (0.3333, 0.6667, 0.6667)  9 Ta 2.87-3.10, 3 Hg 3.02
Ta (0.3333, 0.6667, 0.9163)  3 Rh 2.60, 3 Ta 2.87
Ta (0.6667, 0.3333, 0.3333)  9 Ta 2.87-3.10, 3 Hg 3.02
Ta (0.6667, 0.3333, 0.5830)  3 Rh 2.60, 3 Ta 2.87
Hg (0.0000, 0.0000, 0.7575)  3 Rh 2.96, 3 Ta 3.02, 6 Hg 3.10
Hg (0.3333, 0.6667, 0.4241)  3 Rh 2.96, 3 Ta 3.02, 6 Hg 3.10
Hg (0.6667, 0.3333, 0.0908)  3 Rh 2.96, 3 Ta 3.02, 6 Hg 3.10
Rh (0.0000, 0.0000, 0.5124)  3 Ta 2.60
Rh (0.3333, 0.6667, 0.1790)  3 Ta 2.60
Rh (0.6667, 0.3333, 0.8457)  3 Ta 2.60



Record 4
The following is a PBE calculation of a relaxed TaHgRh crystal, from the Alexandria database.

Its polymorph energy (0 for the lowest one) is 0 meV per atom. Its total energy is -6.5455 eV per atom. The density of states at the Fermi level is 0.708 states/eV/atom. The calculation puts the calculated formation energy at -43 meV/atom. Its space group is I4mm.

a = 3.0494 Å, b = 3.0494 Å, c = 11.5575 Å
α = 90.00°, β = 90.00°, γ = 90.00°
Last column: nearest neighbours and their distance in Å.
Atoms (fractional coordinates):
Ta (0.0000, 0.0000, 0.0000)  4 Rh 2.64
Ta (0.5000, 0.5000, 0.5000)  4 Rh 2.64
Hg (0.0000, 0.0000, 0.6882)  4 Rh 2.99, 4 Hg 3.05, 4 Ta 3.06
Hg (0.5000, 0.5000, 0.1882)  4 Rh 2.99, 4 Hg 3.05, 4 Ta 3.06
Rh (0.0000, 0.0000, 0.3679)  4 Ta 2.64
Rh (0.5000, 0.5000, 0.8679)  4 Ta 2.64



Record 5
The following is a PBE calculation of a relaxed TaHgRh crystal, from the Alexandria database.

Its polymorph energy (0 for the lowest one) is 555 meV per atom. Its total energy is -5.9906 eV per atom. The density of states at the Fermi level is 0.736 states/eV/atom. The calculation puts the calculated formation energy at 511 meV/atom. Its space group is F-43m.

a = 6.2950 Å, b = 6.2950 Å, c = 6.2950 Å
α = 90.00°, β = 90.00°, γ = 90.00°
Last column: nearest neighbours and their distance in Å.
Atoms (fractional coordinates):
Ta (0.0000, 0.0000, 0.0000)  4 Hg 2.73, 4 Rh 2.73
Ta (0.0000, 0.5000, 0.5000)  4 Hg 2.73, 4 Rh 2.73
Ta (0.5000, 0.0000, 0.5000)  4 Hg 2.73, 4 Rh 2.73
Ta (0.5000, 0.5000, 0.0000)  4 Hg 2.73, 4 Rh 2.73
Hg (0.2500, 0.2500, 0.7500)  4 Ta 2.73
Hg (0.2500, 0.7500, 0.2500)  4 Ta 2.73
Hg (0.7500, 0.2500, 0.2500)  4 Ta 2.73
Hg (0.7500, 0.7500, 0.7500)  4 Ta 2.73
Rh (0.2500, 0.2500, 0.2500)  4 Ta 2.73
Rh (0.2500, 0.7500, 0.7500)  4 Ta 2.73
Rh (0.7500, 0.2500, 0.7500)  4 Ta 2.73
Rh (0.7500, 0.7500, 0.2500)  4 Ta 2.73



Record 6
The following is a PBE calculation of a relaxed Ta2HgRh crystal, from the Alexandria database.

Its total energy is -7.7070 eV per atom. The density of states at the Fermi level is 0.660 states/eV/atom. The calculation puts the calculated formation energy at 133 meV/atom. Its space group is P2/m.

a = 4.9611 Å, b = 2.9543 Å, c = 5.0774 Å
α = 90.00°, β = 108.74°, γ = 90.00°
Last column: nearest neighbours and their distance in Å.
Atoms (fractional coordinates):
Ta (0.0000, 0.0000, 0.0000)  6 Ta 2.89-2.95, 2 Rh 2.92, 4 Hg 2.94
Ta (0.5000, 0.5000, 0.0000)  6 Ta 2.89-2.95, 2 Hg 2.92, 4 Rh 2.94
Hg (0.0000, 0.5000, 0.5000)  4 Rh 2.89, 6 Ta 2.92-2.94, 2 Hg 2.95
Rh (0.5000, 0.0000, 0.5000)  4 Hg 2.89, 6 Ta 2.92-2.94, 2 Rh 2.95



Record 7
The following is a PBE calculation of a relaxed Ta2HgRh crystal, from the Alexandria database.

Its total energy is -7.8817 eV per atom. The density of states at the Fermi level is 1.018 states/eV/atom. The calculation puts the calculated formation energy at -42 meV/atom. Its space group is P4/mmm.

a = 2.9077 Å, b = 2.9077 Å, c = 8.3017 Å
α = 90.00°, β = 90.00°, γ = 90.00°
Last column: nearest neighbours and their distance in Å.
Atoms (fractional coordinates):
Ta (0.0000, 0.0000, 0.2257)  4 Rh 2.78, 4 Ta 2.91, 4 Hg 3.07
Ta (0.0000, 0.0000, 0.7743)  4 Rh 2.78, 4 Ta 2.91, 4 Hg 3.07
Hg (0.5000, 0.5000, 0.5000)  4 Hg 2.91, 8 Ta 3.07
Rh (0.5000, 0.5000, 0.0000)  8 Ta 2.78, 4 Rh 2.91



Record 8
The following is a PBE calculation of a relaxed Ta2HgRh crystal, from the Alexandria database.

Its total energy is -7.7692 eV per atom. The density of states at the Fermi level is 0.947 states/eV/atom. The calculation puts the calculated formation energy at 70 meV/atom. Its space group is Pm.

a = 2.8955 Å, b = 4.6880 Å, c = 5.1548 Å
α = 90.00°, β = 93.02°, γ = 90.00°
Last column: nearest neighbours and their distance in Å.
Atoms (fractional coordinates):
Ta (0.0000, 0.0000, 0.0000)  4 Rh 2.76-3.03, 4 Hg 2.87-2.98, 4 Ta 2.90
Ta (0.1111, 0.5000, 0.6791)  4 Rh 2.81-2.96, 3 Hg 2.87-2.92, 4 Ta 2.90
Hg (0.5574, 0.5000, 0.1898)  8 Ta 2.87-3.15, 2 Rh 2.88, 2 Hg 2.90
Rh (0.5459, 0.0000, 0.5148)  8 Ta 2.76-3.03, 2 Hg 2.88, 2 Rh 2.90



Record 9
The following is a PBE calculation of a relaxed TaHgRh crystal, from the Alexandria database.

Its polymorph energy (0 for the lowest one) is 90 meV per atom. Its total energy is -6.4555 eV per atom. The density of states at the Fermi level is 0.956 states/eV/atom. The calculation puts the calculated formation energy at 46 meV/atom. Its space group is P3m1.

a = 3.0158 Å, b = 3.0158 Å, c = 6.8827 Å
α = 90.00°, β = 90.00°, γ = 120.00°
Last column: nearest neighbours and their distance in Å.
Atoms (fractional coordinates):
Ta (0.0000, 0.0000, 0.0000)  3 Rh 2.63
Hg (0.6667, 0.3333, 0.3648)  3 Rh 2.96, 6 Hg 3.02, 3 Ta 3.06
Rh (0.3333, 0.6667, 0.7127)  3 Ta 2.63



Record 10
The following is a PBE calculation of a relaxed Ta2HgRh crystal, from the Alexandria database.

Its total energy is -7.8738 eV per atom. The density of states at the Fermi level is 0.833 states/eV/atom. The calculation puts the calculated formation energy at -34 meV/atom. Its space group is P4mm.

a = 2.9634 Å, b = 2.9634 Å, c = 8.1829 Å
α = 90.00°, β = 90.00°, γ = 90.00°
Last column: nearest neighbours and their distance in Å.
Atoms (fractional coordinates):
Ta (0.0000, 0.0000, 0.0000)  4 Rh 2.67, 4 Ta 2.96
Ta (0.5000, 0.5000, 0.2657)  8 Ta 2.96-3.02, 4 Hg 3.07
Hg (0.0000, 0.0000, 0.5400)  4 Hg 2.96, 4 Rh 2.97, 4 Ta 3.07
Rh (0.5000, 0.5000, 0.7969)  4 Ta 2.67, 4 Rh 2.96, 4 Hg 2.97



Record 11
The following is a PBE calculation of a relaxed TaHg2RhW crystal, from the Alexandria database.

Its total energy is -4.4831 eV per atom. The density of states at the Fermi level is 1.485 states/eV/atom. The calculation puts the calculated formation energy at 2069 meV/atom. Its space group is P4/mmm.

a = 5.1885 Å, b = 5.1885 Å, c = 4.5760 Å
α = 90.00°, β = 90.00°, γ = 90.00°
Last column: nearest neighbours and their distance in Å.
Atoms (fractional coordinates):
Ta (0.0000, 0.0000, 0.0000)  2 Rh 2.29
Hg (0.0000, 0.5000, 0.0000)  2 Ta 2.59
Hg (0.5000, 0.0000, 0.0000)  2 Ta 2.59
Rh (0.0000, 0.0000, 0.5000)  2 Ta 2.29
W (0.5000, 0.5000, 0.5000)  8 Hg 3.46, 4 Rh 3.67